Record 1
The following is a PBE calculation of a geometry-optimized RbSrAlTe3 structure, from Alexandria.

abc: 5.5748 9.4112 9.6381
angles: 102.84 90.00 107.23
With the nearest neighbours (Å) after each atom.
Positions (direct):
Te 0.8348 0.6697 0.6621  1 Al 2.63
Te 0.4984 0.9968 0.2628  2 Al 2.80
Te 0.1367 0.2734 0.7655  1 Al 2.66
Te 0.5016 0.0032 0.7372  2 Al 2.80
Te 0.8633 0.7266 0.2345  1 Al 2.66
Te 0.1652 0.3303 0.3379  1 Al 2.63
Sr 0.3577 0.7154 0.4425  7 Te 3.37-3.58
Sr 0.6423 0.2846 0.5575  7 Te 3.37-3.58
Rb 0.3464 0.6928 0.9378  7 Te 3.65-3.95
Rb 0.6536 0.3072 0.0622  7 Te 3.65-3.95
Al 0.0149 0.0298 0.2736  4 Te 2.63-2.80
Al 0.9851 0.9702 0.7264  4 Te 2.63-2.80

## Properties
DOS at the Fermi energy ... 0.49 states/eV/cell
SG ... No. 12
Formation energy without anion corrections ... -0.846 eV/atom
E_tot ... -3.482 eV/atom
Magnetization ... 0.000 μB per cell



Record 2
The following is a PBE calculation of a geometry-optimized TlIrOs structure, from Alexandria.

abc: 6.4917 6.4917 6.4917
angles: 154.09 154.09 36.97
With the nearest neighbours (Å) after each atom.
Positions (direct):
Os 0.3504 0.3504 0.0000  4 Ir 2.62, 4 Os 2.91
Tl 0.6683 0.6683 0.0000  4 Tl 2.91, 4 Os 3.04, 4 Ir 3.09
Ir 0.9814 0.9814 0.0000  4 Os 2.62, 4 Ir 2.91

## Properties
DOS at the Fermi energy ... 1.07 states/eV/cell
SG ... No. 107
DFT formation energy ... 0.596 eV per atom
E_tot ... -6.890 eV/atom
Relative energy among the computed polymorphs ... 0 meV/atom
Magnetization ... 0.000 μB per cell



Record 3
The following is a PBE calculation of a geometry-optimized MoIrRh2 structure, from Alexandria.

abc: 5.2341 2.6914 6.7904
angles: 90.00 140.49 90.00
With the nearest neighbours (Å) after each atom.
Positions (direct):
Rh 0.2427 0.0000 0.5003  4 Rh 2.54-2.70, 2 Mo 2.54-2.55
Rh 0.7573 0.0000 0.4997  4 Rh 2.54-2.70, 2 Mo 2.54-2.55
Mo 0.0000 0.0000 0.0000  4 Rh 2.54-2.55, 2 Mo 2.69
Ir 0.5000 0.5000 0.0000  2 Ir 2.69, 8 Rh 2.84, 4 Mo 2.94

## Properties
DOS at the Fermi energy ... 5.14 states/eV/cell
SG ... No. 10
DFT formation energy ... 0.204 eV per atom
E_tot ... -8.395 eV/atom
Relative energy among the computed polymorphs ... 487 meV/atom
Magnetization ... 0.000 μB per cell



Record 4
The following is a PBE calculation of a geometry-optimized LiZr2Pd8 structure, from Alexandria.

abc: 4.5054 5.8962 7.7040
angles: 112.45 107.00 90.00
With the nearest neighbours (Å) after each atom.
Positions (direct):
Pd 0.9998 0.2598 0.9996  2 Li 2.72, 7 Pd 2.83-2.88, 2 Zr 2.92
Pd 0.8209 0.8205 0.6418  8 Pd 2.80-2.90, 4 Zr 2.87-2.95
Pd 0.1791 0.1795 0.3582  8 Pd 2.80-2.90, 4 Zr 2.87-2.95
Pd 0.0002 0.7402 0.0004  2 Li 2.72, 7 Pd 2.83-2.88, 2 Zr 2.92
Pd 0.3669 0.6055 0.7338  1 Li 2.37
Pd 0.6335 0.8727 0.2670  1 Li 2.37
Pd 0.6331 0.3945 0.2662  1 Li 2.37
Pd 0.3665 0.1273 0.7330  1 Li 2.37
Li 0.5000 0.0000 0.0000  4 Pd 2.37
Zr 0.8110 0.3112 0.6221  12 Pd 2.76-2.95
Zr 0.1890 0.6888 0.3779  12 Pd 2.76-2.95

## Properties
DOS at the Fermi energy ... 4.77 states/eV/cell
SG ... No. 71
DFT formation energy ... -0.546 eV per atom
E_tot ... -6.051 eV/atom
Magnetization ... 0.000 μB per cell



Record 5
The following is a PBE calculation of a geometry-optimized NdHoMgGe structure, from Alexandria.

abc: 5.2022 5.2022 5.2022
angles: 60.00 60.00 60.00
With the nearest neighbours (Å) after each atom.
Positions (direct):
Nd 0.0000 0.0000 0.0000  4 Mg 3.19, 4 Ge 3.19
Mg 0.7500 0.7500 0.7500  4 Ho 3.19, 4 Nd 3.19
Ge 0.2500 0.2500 0.2500  4 Nd 3.19, 4 Ho 3.19
Ho 0.5000 0.5000 0.5000  4 Mg 3.19, 4 Ge 3.19

## Properties
DOS at the Fermi energy ... 3.60 states/eV/cell
SG ... No. 216
DFT formation energy ... -0.353 eV per atom
E_tot ... -4.243 eV/atom
Magnetization ... 0.000 μB per cell



Record 6
The following is a PBE calculation of a geometry-optimized LuCuPb structure, from Alexandria.

abc: 3.5521 4.6196 4.6196
angles: 120.00 90.00 90.00
With the nearest neighbours (Å) after each atom.
Positions (direct):
Cu 0.1642 0.0000 0.0000  3 Pb 2.67
Lu 0.6673 0.6667 0.3333  6 Cu 3.20-3.21, 6 Pb 3.20-3.21, 2 Lu 3.55
Pb 0.1685 0.3333 0.6667  3 Cu 2.67

## Properties
DOS at the Fermi energy ... 1.69 states/eV/cell
SG ... No. 156
DFT formation energy ... -0.221 eV per atom
E_tot ... -4.330 eV/atom
Magnetization ... 0.000 μB per cell



Question: Which of these has the lowest E_tot?
Answer: MoIrRh2